Arrangement one

## HfCoRu (PBE)

Data for a geometry-optimized HfCoRu structure.

Calculated values
Crystal system: hexagonal
Space group: No. 194

Lattice parameters (Å, degrees): 4.3508 4.3508 5.3840 90.00 90.00 120.00
Last column: nearest neighbours and their distance in Å.
Element x y z (fractional)
Hf  0.3333  0.6667  0.2500  5 Co 2.51-2.69
Hf  0.6667  0.3333  0.7500  5 Co 2.51-2.69
Co  0.3333  0.6667  0.7500  5 Hf 2.51-2.69
Co  0.6667  0.3333  0.2500  5 Hf 2.51-2.69
Ru  0.0000  0.0000  0.0000  2 Ru 2.69, 6 Co 2.85, 6 Hf 2.85
Ru  0.0000  0.0000  0.5000  2 Ru 2.69, 6 Hf 2.85, 6 Co 2.85

---

Arrangement two

## HfCoRu (PBE)

Data for a geometry-optimized HfCoRu structure.

Calculated values
Crystal system: orthorhombic
Space group: No. 74

Lattice parameters (Å, degrees): 4.9335 5.0977 7.1467 90.00 90.00 90.00
Last column: nearest neighbours and their distance in Å.
Element x y z (fractional)
Hf  0.0000  0.2500  0.1231  6 Ru 2.91-2.98, 6 Co 2.94-2.97, 4 Hf 3.06-3.10
Hf  0.0000  0.7500  0.8769  6 Ru 2.91-2.98, 6 Co 2.94-2.97, 4 Hf 3.06-3.10
Hf  0.5000  0.2500  0.3769  6 Ru 2.91-2.98, 6 Co 2.94-2.97, 4 Hf 3.06-3.10
Hf  0.5000  0.7500  0.6231  6 Ru 2.91-2.98, 6 Co 2.94-2.97, 4 Hf 3.06-3.10
Co  0.2500  0.2500  0.7500  2 Co 2.47, 4 Ru 2.52
Co  0.2500  0.7500  0.2500  2 Co 2.47, 4 Ru 2.52
Co  0.7500  0.2500  0.7500  2 Co 2.47, 4 Ru 2.52
Co  0.7500  0.7500  0.2500  2 Co 2.47, 4 Ru 2.52
Ru  0.0000  0.0000  0.5000  4 Co 2.52, 2 Ru 2.55
Ru  0.0000  0.5000  0.5000  4 Co 2.52, 2 Ru 2.55
Ru  0.5000  0.0000  0.0000  4 Co 2.52, 2 Ru 2.55
Ru  0.5000  0.5000  0.0000  4 Co 2.52, 2 Ru 2.55

---

Arrangement three

## HfCoRu (PBE)

Data for a geometry-optimized HfCoRu structure.

Calculated values
Crystal system: monoclinic
Space group: No. 12

Lattice parameters (Å, degrees): 9.2816 4.0777 5.2718 90.00 114.32 90.00
Last column: nearest neighbours and their distance in Å.
Element x y z (fractional)
Hf  0.1889  0.0000  0.1682  4 Co 2.57-2.72, 2 Ru 2.70
Hf  0.3111  0.5000  0.8318  4 Co 2.57-2.72, 2 Ru 2.70
Hf  0.6889  0.5000  0.1682  4 Co 2.57-2.72, 2 Ru 2.70
Hf  0.8111  0.0000  0.8318  4 Co 2.57-2.72, 2 Ru 2.70
Co  0.1314  0.0000  0.6332  1 Co 2.26
Co  0.3686  0.5000  0.3668  1 Co 2.26
Co  0.6314  0.5000  0.6332  1 Co 2.26
Co  0.8686  0.0000  0.3668  1 Co 2.26
Ru  0.0386  0.5000  0.2910  2 Ru 2.58-2.85, 4 Co 2.62-2.71, 2 Hf 2.70
Ru  0.4614  0.0000  0.7090  2 Ru 2.58-2.85, 4 Co 2.62-2.71, 2 Hf 2.70
Ru  0.5386  0.0000  0.2910  2 Ru 2.58-2.85, 4 Co 2.62-2.71, 2 Hf 2.70
Ru  0.9614  0.5000  0.7090  2 Ru 2.58-2.85, 4 Co 2.62-2.71, 2 Hf 2.70

---

How do the energies compare? Relative to the most stable structure, in eV/atom: arrangement one 0.059; arrangement two 0.000; arrangement three 0.164.

---

Arrangement one

## HfCoRu (PBE)

Data for a geometry-optimized HfCoRu structure.

Calculated values
Crystal system: monoclinic
Space group: No. 12

Lattice parameters (Å, degrees): 8.0978 4.1420 5.4336 90.00 101.42 90.00
Last column: nearest neighbours and their distance in Å.
Element x y z (fractional)
Hf  0.1472  0.0000  0.2975  5 Co 2.62-2.84, 5 Ru 2.73-2.85
Hf  0.3528  0.5000  0.7025  5 Co 2.62-2.84, 5 Ru 2.73-2.85
Hf  0.6472  0.5000  0.2975  5 Co 2.62-2.84, 5 Ru 2.73-2.85
Hf  0.8528  0.0000  0.7025  5 Co 2.62-2.84, 5 Ru 2.73-2.85
Co  0.1826  0.0000  0.8285  3 Ru 2.55-2.81, 5 Hf 2.62-2.84, 2 Co 2.85
Co  0.3174  0.5000  0.1715  3 Ru 2.55-2.81, 5 Hf 2.62-2.84, 2 Co 2.85
Co  0.6826  0.5000  0.8285  3 Ru 2.55-2.81, 5 Hf 2.62-2.84, 2 Co 2.85
Co  0.8174  0.0000  0.1715  3 Ru 2.55-2.81, 5 Hf 2.62-2.84, 2 Co 2.85
Ru  0.0000  0.5000  0.0000  6 Co 2.55-2.81, 2 Ru 2.72, 4 Hf 2.75
Ru  0.0000  0.5000  0.5000  2 Ru 2.72, 6 Hf 2.73-2.85, 4 Co 2.94
Ru  0.5000  0.0000  0.0000  6 Co 2.55-2.81, 2 Ru 2.72, 4 Hf 2.75
Ru  0.5000  0.0000  0.5000  2 Ru 2.72, 6 Hf 2.73-2.85, 4 Co 2.94

---

Arrangement two

## HfCoRu (PBE)

Data for a geometry-optimized HfCoRu structure.

Calculated values
Crystal system: monoclinic
Space group: No. 8

Lattice parameters (Å, degrees): 8.4581 4.0588 5.3552 90.00 102.64 90.00
Last column: nearest neighbours and their distance in Å.
Element x y z (fractional)
Hf  0.0000  0.0000  0.0000  6 Co 2.64-2.87, 4 Ru 2.67-2.72
Hf  0.2143  0.5000  0.3739  4 Co 2.62-2.73, 5 Ru 2.68-2.79
Hf  0.5000  0.5000  0.0000  6 Co 2.64-2.87, 4 Ru 2.67-2.72
Hf  0.7143  0.0000  0.3739  4 Co 2.62-2.73, 5 Ru 2.68-2.79
Co  0.1811  0.5000  0.8551  5 Hf 2.64-2.75, 5 Ru 2.65-2.81, 2 Co 2.84
Co  0.3456  0.0000  0.1843  5 Hf 2.62-2.87, 2 Ru 2.62-2.74, 2 Co 2.84
Co  0.6811  0.0000  0.8551  5 Hf 2.64-2.75, 5 Ru 2.65-2.81, 2 Co 2.84
Co  0.8456  0.5000  0.1843  5 Hf 2.62-2.87, 2 Ru 2.62-2.74, 2 Co 2.84
Ru  0.0383  0.0000  0.5177  5 Hf 2.67-2.73, 3 Ru 2.69-2.82, 4 Co 2.81-2.95
Ru  0.3615  0.0000  0.7004  5 Co 2.62-2.77, 4 Hf 2.69-2.79, 3 Ru 2.69-2.82
Ru  0.5383  0.5000  0.5177  5 Hf 2.67-2.73, 3 Ru 2.69-2.82, 4 Co 2.81-2.95
Ru  0.8615  0.5000  0.7004  5 Co 2.62-2.77, 4 Hf 2.69-2.79, 3 Ru 2.69-2.82

---

How do the energies compare? Relative to the most stable structure, in eV/atom: arrangement one 0.000; arrangement two 0.039.

---

Arrangement one

## HfCoRu2 (PBE)

Data for a geometry-optimized HfCoRu2 structure.

Calculated values
Crystal system: cubic
Space group: No. 225

Lattice parameters (Å, degrees): 6.2167 6.2167 6.2167 90.00 90.00 90.00
Last column: nearest neighbours and their distance in Å.
Element x y z (fractional)
Hf  0.0000  0.0000  0.0000  8 Ru 2.69
Hf  0.0000  0.5000  0.5000  8 Ru 2.69
Hf  0.5000  0.0000  0.5000  8 Ru 2.69
Hf  0.5000  0.5000  0.0000  8 Ru 2.69
Co  0.0000  0.0000  0.5000  8 Ru 2.69
Co  0.0000  0.5000  0.0000  8 Ru 2.69
Co  0.5000  0.0000  0.0000  8 Ru 2.69
Co  0.5000  0.5000  0.5000  8 Ru 2.69
Ru  0.2500  0.2500  0.2500  4 Hf 2.69, 4 Co 2.69
Ru  0.2500  0.2500  0.7500  4 Hf 2.69, 4 Co 2.69
Ru  0.2500  0.7500  0.2500  4 Hf 2.69, 4 Co 2.69
Ru  0.2500  0.7500  0.7500  4 Hf 2.69, 4 Co 2.69
Ru  0.7500  0.2500  0.2500  4 Hf 2.69, 4 Co 2.69
Ru  0.7500  0.2500  0.7500  4 Hf 2.69, 4 Co 2.69
Ru  0.7500  0.7500  0.2500  4 Hf 2.69, 4 Co 2.69
Ru  0.7500  0.7500  0.7500  4 Hf 2.69, 4 Co 2.69

---

Arrangement two

## HfCoRu2 (PBE)

Data for a geometry-optimized HfCoRu2 structure.

Calculated values
Crystal system: tetragonal
Space group: No. 123

Lattice parameters (Å, degrees): 3.8837 3.8837 3.8703 90.00 90.00 90.00
Last column: nearest neighbours and their distance in Å.
Element x y z (fractional)
Hf  0.0000  0.0000  0.0000  8 Ru 2.74, 4 Co 2.75
Co  0.5000  0.5000  0.0000  8 Ru 2.74, 4 Hf 2.75
Ru  0.0000  0.5000  0.5000  4 Hf 2.74, 4 Co 2.74, 4 Ru 2.75
Ru  0.5000  0.0000  0.5000  4 Hf 2.74, 4 Co 2.74, 4 Ru 2.75

---

How do the energies compare? Relative to the most stable structure, in eV/atom: arrangement one 0.083; arrangement two 0.000.

---

Arrangement one

## Hf2CoRu (PBE)

Data for a geometry-optimized Hf2CoRu structure.

Calculated values
Crystal system: cubic
Space group: No. 225

Lattice parameters (Å, degrees): 6.4168 6.4168 6.4168 90.00 90.00 90.00
Last column: nearest neighbours and their distance in Å.
Element x y z (fractional)
Hf  0.2500  0.2500  0.2500  4 Co 2.78, 4 Ru 2.78
Hf  0.2500  0.2500  0.7500  4 Co 2.78, 4 Ru 2.78
Hf  0.2500  0.7500  0.2500  4 Co 2.78, 4 Ru 2.78
Hf  0.2500  0.7500  0.7500  4 Co 2.78, 4 Ru 2.78
Hf  0.7500  0.2500  0.2500  4 Co 2.78, 4 Ru 2.78
Hf  0.7500  0.2500  0.7500  4 Co 2.78, 4 Ru 2.78
Hf  0.7500  0.7500  0.2500  4 Co 2.78, 4 Ru 2.78
Hf  0.7500  0.7500  0.7500  4 Ru 2.78, 4 Co 2.78
Co  0.0000  0.0000  0.0000  8 Hf 2.78
Co  0.0000  0.5000  0.5000  8 Hf 2.78
Co  0.5000  0.0000  0.5000  8 Hf 2.78
Co  0.5000  0.5000  0.0000  8 Hf 2.78
Ru  0.0000  0.0000  0.5000  8 Hf 2.78
Ru  0.0000  0.5000  0.0000  8 Hf 2.78
Ru  0.5000  0.0000  0.0000  8 Hf 2.78
Ru  0.5000  0.5000  0.5000  8 Hf 2.78

---

Arrangement two

## Hf2CoRu (PBE)

Data for a geometry-optimized Hf2CoRu structure.

Calculated values
Crystal system: tetragonal
Space group: No. 123

Lattice parameters (Å, degrees): 3.2070 3.2070 6.3765 90.00 90.00 90.00
Last column: nearest neighbours and their distance in Å.
Element x y z (fractional)
Hf  0.0000  0.0000  0.2434  4 Co 2.75, 4 Ru 2.80
Hf  0.0000  0.0000  0.7566  4 Co 2.75, 4 Ru 2.80
Co  0.5000  0.5000  0.0000  8 Hf 2.75
Ru  0.5000  0.5000  0.5000  8 Hf 2.80

---

Arrangement three

## Hf2CoRu (PBE)

Data for a geometry-optimized Hf2CoRu structure.

Calculated values
Crystal system: tetragonal
Space group: No. 122

Lattice parameters (Å, degrees): 6.8948 6.8948 5.8715 90.00 90.00 90.00
Last column: nearest neighbours and their distance in Å.
Element x y z (fractional)
Hf  0.2376  0.2500  0.1250  2 Co 2.49, 2 Ru 2.60
Hf  0.2500  0.7376  0.3750  2 Co 2.49, 2 Ru 2.60
Hf  0.2500  0.7624  0.8750  2 Co 2.49, 2 Ru 2.60
Hf  0.2624  0.2500  0.6250  2 Co 2.49, 2 Ru 2.60
Hf  0.7376  0.7500  0.6250  2 Co 2.49, 2 Ru 2.60
Hf  0.7500  0.2376  0.8750  2 Co 2.49, 2 Ru 2.60
Hf  0.7500  0.2624  0.3750  2 Co 2.49, 2 Ru 2.60
Hf  0.7624  0.7500  0.1250  2 Co 2.49, 2 Ru 2.60
Co  0.0000  0.0000  0.0000  4 Hf 2.49
Co  0.0000  0.5000  0.2500  4 Hf 2.49
Co  0.5000  0.0000  0.7500  4 Hf 2.49
Co  0.5000  0.5000  0.5000  4 Hf 2.49
Ru  0.0000  0.0000  0.5000  4 Hf 2.60
Ru  0.0000  0.5000  0.7500  4 Hf 2.60
Ru  0.5000  0.0000  0.2500  4 Hf 2.60
Ru  0.5000  0.5000  0.0000  4 Hf 2.60

---

Arrangement four

## Hf2CoRu (PBE)

Data for a geometry-optimized Hf2CoRu structure.

Calculated values
Crystal system: orthorhombic
Space group: No. 71

Lattice parameters (Å, degrees): 2.8903 4.9717 9.7717 90.00 90.00 90.00
Last column: nearest neighbours and their distance in Å.
Element x y z (fractional)
Hf  0.0000  0.0000  0.2419  1 Co 2.36, 1 Ru 2.52
Hf  0.0000  0.0000  0.7581  1 Co 2.36, 1 Ru 2.52
Hf  0.5000  0.5000  0.2581  1 Co 2.36, 1 Ru 2.52
Hf  0.5000  0.5000  0.7419  1 Co 2.36, 1 Ru 2.52
Co  0.0000  0.0000  0.0000  2 Hf 2.36
Co  0.5000  0.5000  0.5000  2 Hf 2.36
Ru  0.0000  0.0000  0.5000  2 Hf 2.52
Ru  0.5000  0.5000  0.0000  2 Hf 2.52

---

How do the energies compare? Relative to the most stable structure, in eV/atom: arrangement one 0.011; arrangement two 0.000; arrangement three 0.601; arrangement four 1.105.

---

Arrangement one

## Hf3CoRu (PBE)

Data for a geometry-optimized Hf3CoRu structure.

Calculated values
Crystal system: cubic
Space group: No. 221

Lattice parameters (Å, degrees): 4.8967 4.8967 4.8967 90.00 90.00 90.00
Last column: nearest neighbours and their distance in Å.
Element x y z (fractional)
Hf  0.0000  0.0000  0.5000  2 Ru 2.45
Hf  0.0000  0.5000  0.0000  2 Ru 2.45
Hf  0.5000  0.0000  0.0000  2 Ru 2.45
Co  0.5000  0.5000  0.5000  12 Hf 3.46
Ru  0.0000  0.0000  0.0000  6 Hf 2.45

---

Arrangement two

## Hf3CoRu (PBE)

Data for a geometry-optimized Hf3CoRu structure.

Calculated values
Crystal system: cubic
Space group: No. 221

Lattice parameters (Å, degrees): 4.6714 4.6714 4.6714 90.00 90.00 90.00
Last column: nearest neighbours and their distance in Å.
Element x y z (fractional)
Hf  0.0000  0.0000  0.5000  2 Co 2.34
Hf  0.0000  0.5000  0.0000  2 Co 2.34
Hf  0.5000  0.0000  0.0000  2 Co 2.34
Co  0.0000  0.0000  0.0000  6 Hf 2.34
Ru  0.5000  0.5000  0.5000  12 Hf 3.30

---

How do the energies compare? Relative to the most stable structure, in eV/atom: arrangement one 0.409; arrangement two 0.000.

---

Arrangement one

## TmHfCoRu (PBE)

Data for a geometry-optimized TmHfCoRu structure.

Calculated values
Crystal system: cubic
Space group: No. 216

Lattice parameters (Å, degrees): 6.5168 6.5168 6.5168 90.00 90.00 90.00
Last column: nearest neighbours and their distance in Å.
Element x y z (fractional)
Tm  0.0000  0.0000  0.0000  4 Co 2.82, 4 Ru 2.82
Tm  0.0000  0.5000  0.5000  4 Co 2.82, 4 Ru 2.82
Tm  0.5000  0.0000  0.5000  4 Co 2.82, 4 Ru 2.82
Tm  0.5000  0.5000  0.0000  4 Co 2.82, 4 Ru 2.82
Hf  0.0000  0.0000  0.5000  4 Co 2.82, 4 Ru 2.82
Hf  0.0000  0.5000  0.0000  4 Co 2.82, 4 Ru 2.82
Hf  0.5000  0.0000  0.0000  4 Co 2.82, 4 Ru 2.82
Hf  0.5000  0.5000  0.5000  4 Co 2.82, 4 Ru 2.82
Co  0.2500  0.2500  0.2500  4 Hf 2.82, 4 Tm 2.82
Co  0.2500  0.7500  0.7500  4 Hf 2.82, 4 Tm 2.82
Co  0.7500  0.2500  0.7500  4 Hf 2.82, 4 Tm 2.82
Co  0.7500  0.7500  0.2500  4 Hf 2.82, 4 Tm 2.82
Ru  0.2500  0.2500  0.7500  4 Hf 2.82, 4 Tm 2.82
Ru  0.2500  0.7500  0.2500  4 Hf 2.82, 4 Tm 2.82
Ru  0.7500  0.2500  0.2500  4 Hf 2.82, 4 Tm 2.82
Ru  0.7500  0.7500  0.7500  4 Hf 2.82, 4 Tm 2.82

---

Arrangement two

## TmHfCoRu (PBE)

Data for a geometry-optimized TmHfCoRu structure.

Calculated values
Crystal system: tetragonal
Space group: No. 99

Lattice parameters (Å, degrees): 3.2630 3.2630 6.5056 90.00 90.00 90.00
Last column: nearest neighbours and their distance in Å.
Element x y z (fractional)
Tm  0.0000  0.0000  0.0000  4 Co 2.88, 4 Ru 2.91, 1 Hf 3.19
Hf  0.0000  0.0000  0.5093  4 Co 2.73, 4 Ru 2.77
Co  0.5000  0.5000  0.7342  4 Hf 2.73, 4 Tm 2.88, 1 Ru 3.00
Ru  0.5000  0.5000  0.2729  4 Hf 2.77, 4 Tm 2.91, 1 Co 3.00

---

How do the energies compare? Relative to the most stable structure, in eV/atom: arrangement one 0.052; arrangement two 0.000.